A relaxed LaZr2Te crystal. Source: Alexandria via LeMat-Bulk, functional PBE.

Output
Density of states at the Fermi level ... 3.89 states/eV/f.u.
DFT total energy ... -6.6570 eV/atom
Formation energy without anion corrections ... -366 meV/atom

Cell: 5.5223 5.5223 5.5788 Å, 77.30 77.30 37.92°
Element x y z (fractional)
Zr: 0.9867 0.9867 0.0257
Zr: 0.5133 0.5133 0.4743
Te: 0.2500 0.2500 0.2500
La: 0.7500 0.7500 0.7500